[1]
Compound: Pu2UAs
Source: Alexandria
Functional: PBE
Structure: optimized geometry Values from VASP.

Structure (Quantum ESPRESSO input):
```
&SYSTEM
  ibrav = 0, nat = 4, ntyp = 3
/
ATOMIC_SPECIES
Pu 244.00 Pu.upf
U 238.03 U.upf
As 74.92 As.upf
ATOMIC_POSITIONS angstrom
Pu 0.000 0.000 1.476
Pu 0.000 0.000 4.629
U 1.862 1.862 3.053
As 1.862 1.862 0.000
CELL_PARAMETERS angstrom
3.724 0.000 0.000
0.000 3.724 0.000
0.000 0.000 6.105
```

Results
Space group: P4/mmm
M_tot: 10.317 μB per formula unit
DFT formation energy: -0.2847 eV/atom
DOS(E_F): 11.55 states/eV/f.u.
Electronic total energy: -11.4351 eV/atom

=====

[2]
Compound: Pu2SiBr
Source: Alexandria
Functional: PBE
Structure: optimized geometry Values from VASP.

Structure (Quantum ESPRESSO input):
```
&SYSTEM
  ibrav = 0, nat = 4, ntyp = 3
/
ATOMIC_SPECIES
Pu 244.00 Pu.upf
Si 28.09 Si.upf
Br 79.90 Br.upf
ATOMIC_POSITIONS angstrom
Pu 0.000 0.000 4.861
Pu 0.000 0.000 15.257
Si 0.000 0.000 10.059
Br 0.000 0.000 0.000
CELL_PARAMETERS angstrom
2.123 1.225 6.706
-2.123 1.225 6.706
0.000 -2.451 6.706
```

Results
Space group: R-3m
M_tot: 10.878 μB per formula unit
Formation energy without anion corrections: -587 meV per atom
DOS(E_F): 19.42 states/eV/f.u.
Electronic total energy: -9.5274 eV/atom

=====

[3]
Compound: YbBr3
Source: Alexandria
Functional: PBE
Structure: optimized geometry Values from VASP.

Structure (Quantum ESPRESSO input):
```
&SYSTEM
  ibrav = 0, nat = 8, ntyp = 2
/
ATOMIC_SPECIES
Yb 173.04 Yb.upf
Br 79.90 Br.upf
ATOMIC_POSITIONS angstrom
Yb 0.000 0.000 3.230
Yb 0.000 0.000 16.145
Br -2.518 0.001 8.098
Br -1.260 -2.180 11.277
Br 1.258 -2.182 8.098
Br -1.258 2.182 11.277
Br 1.260 2.180 8.098
Br 2.518 -0.001 11.277
CELL_PARAMETERS angstrom
3.590 2.073 6.458
-3.590 2.073 6.458
0.000 -4.146 6.458
```

Results
Space group: R-3
M_tot: 0.964 μB per formula unit
Formation energy without anion corrections: -1500 meV per atom
DOS(E_F): 13.06 states/eV/f.u.
Electronic total energy: -3.1359 eV/atom

=====

[4]
Compound: Li2Zr3Se6
Source: Alexandria
Functional: PBE
Structure: optimized geometry Values from VASP.

Structure (Quantum ESPRESSO input):
```
&SYSTEM
  ibrav = 0, nat = 11, ntyp = 3
/
ATOMIC_SPECIES
Li 6.94 Li.upf
Zr 91.22 Zr.upf
Se 78.96 Se.upf
ATOMIC_POSITIONS angstrom
Li 3.263 3.764 0.000
Li 3.263 -3.764 0.000
Zr -1.085 0.000 3.318
Zr 2.178 1.882 3.318
Zr 2.178 -1.882 3.318
Se 0.006 1.878 4.973
Se 1.098 0.000 1.662
Se 0.006 -1.878 4.973
Se 4.350 1.878 1.664
Se 3.258 0.000 4.975
Se 4.350 -1.878 1.664
CELL_PARAMETERS angstrom
3.263 -5.653 0.000
3.263 5.653 0.000
-2.170 0.000 6.637
```

Results
Space group: C2/m
M_tot: 0.000 μB per formula unit
Formation energy without anion corrections: -1353 meV per atom
DOS(E_F): 4.93 states/eV/f.u.
Electronic total energy: -5.9328 eV/atom